Computed, not measured: a geometry-optimized KNiTe structure at the GGA-PBEsol level of DFT.

The space group is I4mm (No. 107) and the conventional cell measures 3.634, 3.634 and 11.759 Å, with angles of 90.00, 90.00 and 90.00 degrees. The inequivalent atoms are K at (0.000, 0.000, 0.000), Ni at (0.000, 0.000, 0.257) and Te at (0.000, 0.000, 0.722).

The calculation puts the density of states at the Fermi level at 1.4 states/eV/f.u. The raw total energy is -3.7563 eV per atom.